# SrLi3W | Alexandria | SCAN | single point on PBEsol structure
# * final energy: -89.55 eV for the cell shown
# * total magnetization: 0.980 μB per cell
data_SrLi3W
_symmetry_space_group_name_H-M 'P 1'
_symmetry_Int_Tables_number 1
_cell_length_a 4.4946
_cell_length_b 4.4946
_cell_length_c 4.4946
_cell_angle_alpha 90.00
_cell_angle_beta 90.00
_cell_angle_gamma 90.00
loop_
_symmetry_equiv_pos_as_xyz
'x,y,z'
loop_
_atom_site_label
_atom_site_fract_x
_atom_site_fract_y
_atom_site_fract_z
Sr1 0.0000 0.0000 0.0000
W1 0.5000 0.5000 0.5000
Li1 0.0000 0.5000 0.0000
Li2 0.0000 0.0000 0.5000
Li3 0.5000 0.0000 0.0000

---

# Sr3LiW | Alexandria | SCAN | single point on PBEsol structure
# * final energy: -133.78 eV for the cell shown
# * total magnetization: 0.000 μB per cell
data_Sr3LiW
_symmetry_space_group_name_H-M 'P 1'
_symmetry_Int_Tables_number 1
_cell_length_a 5.8286
_cell_length_b 5.8286
_cell_length_c 5.8286
_cell_angle_alpha 90.00
_cell_angle_beta 90.00
_cell_angle_gamma 90.00
loop_
_symmetry_equiv_pos_as_xyz
'x,y,z'
loop_
_atom_site_label
_atom_site_fract_x
_atom_site_fract_y
_atom_site_fract_z
Sr1 0.0000 0.5000 0.0000
Sr2 0.0000 0.0000 0.5000
Sr3 0.5000 0.0000 0.0000
W1 0.0000 0.0000 0.0000
Li1 0.5000 0.5000 0.5000

---

# Sr2LiW2 | Alexandria | SCAN | single point on PBEsol structure
# * final energy: -182.44 eV for the cell shown
# * total magnetization: 0.662 μB per cell
data_Sr2LiW2
_symmetry_space_group_name_H-M 'P 1'
_symmetry_Int_Tables_number 1
_cell_length_a 3.6371
_cell_length_b 3.6371
_cell_length_c 11.3828
_cell_angle_alpha 99.19
_cell_angle_beta 99.19
_cell_angle_gamma 90.00
loop_
_symmetry_equiv_pos_as_xyz
'x,y,z'
loop_
_atom_site_label
_atom_site_fract_x
_atom_site_fract_y
_atom_site_fract_z
Sr1 0.3759 0.3759 0.7518
Sr2 0.6241 0.6241 0.2482
W1 0.2500 0.7500 0.5000
W2 0.7500 0.2500 0.5000
Li1 0.0000 0.0000 0.0000

---

# SrLi2Y | Alexandria | SCAN | single point on PBEsol structure
# * final energy: -54.24 eV for the cell shown
# * total magnetization: 0.022 μB per cell
data_SrLi2Y
_symmetry_space_group_name_H-M 'P 1'
_symmetry_Int_Tables_number 1
_cell_length_a 3.5642
_cell_length_b 5.7819
_cell_length_c 6.2671
_cell_angle_alpha 107.50
_cell_angle_beta 106.52
_cell_angle_gamma 90.00
loop_
_symmetry_equiv_pos_as_xyz
'x,y,z'
loop_
_atom_site_label
_atom_site_fract_x
_atom_site_fract_y
_atom_site_fract_z
Li1 0.0274 0.9791 0.0547
Li2 0.7202 0.2642 0.4405
Sr1 0.4797 0.4475 0.9595
Y1 0.2727 0.8091 0.5453

---

# SrLi2Y | Alexandria | SCAN | single point on PBEsol structure
# * final energy: -53.86 eV for the cell shown
# * total magnetization: 0.457 μB per cell
data_SrLi2Y
_symmetry_space_group_name_H-M 'P 1'
_symmetry_Int_Tables_number 1
_cell_length_a 3.4929
_cell_length_b 5.7760
_cell_length_c 6.5846
_cell_angle_alpha 97.02
_cell_angle_beta 90.00
_cell_angle_gamma 107.60
loop_
_symmetry_equiv_pos_as_xyz
'x,y,z'
loop_
_atom_site_label
_atom_site_fract_x
_atom_site_fract_y
_atom_site_fract_z
Li1 0.7558 0.5117 0.7936
Li2 0.2442 0.4883 0.2064
Sr1 0.0000 0.0000 0.5000
Y1 0.5000 0.0000 0.0000

---

# SrLi2Y | Alexandria | SCAN | single point on PBEsol structure
# * final energy: -54.21 eV for the cell shown
# * total magnetization: 0.073 μB per cell
data_SrLi2Y
_symmetry_space_group_name_H-M 'P 1'
_symmetry_Int_Tables_number 1
_cell_length_a 3.6040
_cell_length_b 5.6645
_cell_length_c 6.6852
_cell_angle_alpha 115.07
_cell_angle_beta 105.64
_cell_angle_gamma 90.00
loop_
_symmetry_equiv_pos_as_xyz
'x,y,z'
loop_
_atom_site_label
_atom_site_fract_x
_atom_site_fract_y
_atom_site_fract_z
Li1 0.0292 0.0292 0.0584
Li2 0.7175 0.2175 0.4351
Sr1 0.4794 0.4794 0.9588
Y1 0.2738 0.7738 0.5477

---

# SrLi2Y | Alexandria | SCAN | single point on PBEsol structure
# * final energy: -106.80 eV for the cell shown
# * total magnetization: 2.573 μB per cell
data_SrLi2Y
_symmetry_space_group_name_H-M 'P 1'
_symmetry_Int_Tables_number 1
_cell_length_a 6.8788
_cell_length_b 6.8788
_cell_length_c 6.8788
_cell_angle_alpha 104.45
_cell_angle_beta 104.45
_cell_angle_gamma 120.07
loop_
_symmetry_equiv_pos_as_xyz
'x,y,z'
loop_
_atom_site_label
_atom_site_fract_x
_atom_site_fract_y
_atom_site_fract_z
Y1 0.0000 0.0000 0.0000
Y2 0.2500 0.7500 0.5000
Sr1 0.5000 0.5000 0.0000
Sr2 0.7500 0.2500 0.5000
Li1 0.6250 0.6368 0.5118
Li2 0.1250 0.1132 0.4882
Li3 0.8868 0.3750 0.0118
Li4 0.3632 0.8750 0.9882

---

# SrLi2Zn | Alexandria | SCAN | single point on PBEsol structure
# * final energy: -40.70 eV for the cell shown
# * total magnetization: 0.100 μB per cell
data_SrLi2Zn
_symmetry_space_group_name_H-M 'P 1'
_symmetry_Int_Tables_number 1
_cell_length_a 3.6631
_cell_length_b 5.3626
_cell_length_c 5.9768
_cell_angle_alpha 116.66
_cell_angle_beta 107.85
_cell_angle_gamma 90.00
loop_
_symmetry_equiv_pos_as_xyz
'x,y,z'
loop_
_atom_site_label
_atom_site_fract_x
_atom_site_fract_y
_atom_site_fract_z
Sr1 0.5000 0.0000 0.0000
Zn1 0.0000 0.5000 0.0000
Li1 0.7038 0.7038 0.4077
Li2 0.2962 0.2962 0.5923